[1]
Below is a relaxed Ho2Tm2Te7 crystal, with properties calculated at the PBE level.

```
Ho2Tm2Te7
1.0
4.188 0.000 0.000
2.094 9.298 -0.151
2.094 4.276 8.258
Te Tm Ho
7 2 2
Cartesian
4.188 5.806 2.338
4.188 8.763 4.103
4.188 10.662 7.544
2.094 3.774 4.724
4.188 4.300 8.217
6.281 7.625 7.024
4.188 1.876 2.297
4.188 5.901 5.537
2.094 8.148 1.774
2.094 3.780 1.142
6.281 10.776 5.321
```

Summary:
Total magnetization = 0.0 μB/cell
Fermi-level density of states = 5.29 states/eV per cell
Space group = Imm2
Formation energy without anion corrections = -1161 meV/atom

***

[2]
Below is a relaxed MgBeB crystal, with properties calculated at the PBE level.

```
MgBeB
1.0
3.397 -0.009 0.021
-1.684 4.494 0.019
-0.016 -2.311 4.398
B Be Mg
2 2 2
Cartesian
0.128 0.941 2.154
0.131 0.243 0.476
1.832 1.418 3.195
1.830 0.741 1.278
0.136 2.802 0.391
1.825 -1.215 3.162
```

Summary:
Total magnetization = 0.0 μB/cell
Relative energy among the computed polymorphs = 143 meV per atom
Fermi-level density of states = 1.57 states/eV per cell
Space group = P1
Calculated formation energy = 0.15 eV/atom

***

[3]
Below is a relaxed Li3In4Pt2 crystal, with properties calculated at the PBE level.

```
Li3In4Pt2
1.0
4.618 0.001 0.001
2.309 4.004 0.153
-0.002 -0.310 8.702
Li In Pt
3 4 2
Cartesian
2.308 1.193 4.061
4.617 2.502 4.794
0.000 0.000 0.000
2.309 1.298 1.064
4.616 2.397 7.791
2.308 3.900 3.020
4.617 -0.205 5.835
4.617 2.601 1.988
2.307 1.094 6.868
```

Summary:
Total magnetization = 0.0 μB/cell
Fermi-level density of states = 3.12 states/eV per cell
Space group = C2/m
Calculated formation energy = -0.51 eV/atom

***

[4]
Below is a relaxed Th6Tl2Os crystal, with properties calculated at the PBE level.

```
Th6Tl2Os
1.0
-1.654 0.167 -6.123
-6.645 -4.619 1.669
-5.584 8.788 2.089
Th Tl Os
12 4 2
Cartesian
-5.590 0.132 -2.506
-5.294 4.014 -2.320
-4.580 6.511 0.852
-9.303 -2.175 -3.218
-7.519 7.725 -1.567
-8.589 0.322 -0.045
-8.293 4.204 0.141
-2.512 -1.046 -0.093
-4.952 2.516 0.714
-8.931 1.820 -3.079
-6.364 -3.389 -0.798
-11.371 5.382 -2.273
-5.639 -0.654 0.904
-8.244 4.989 -3.269
-2.833 1.758 -1.702
-11.051 2.578 -0.663
-2.792 4.394 1.044
-4.149 -2.226 -2.227
```

Summary:
Total magnetization = 0.0 μB/cell
Relative energy among the computed polymorphs = 134 meV per atom
Fermi-level density of states = 22.02 states/eV per cell
Space group = P2_1/c
Calculated formation energy = -0.06 eV/atom

***

- Number 3 is which compound?
  Li3In4Pt2